Record 1
First-principles (PBE) data for a relaxed Ho8Pd2Ru crystal, as listed in Alexandria via LeMat-Bulk.

Cell and atoms, written as POSCAR:
```
Ho8Pd2Ru
1.0
4.082 -6.555 0.000
4.082 6.555 0.000
-2.077 0.000 5.464
Ho Pd Ru
8 2 1
direct
0.000 0.000 0.000
0.021 0.267 0.562
0.146 0.561 0.172
0.267 0.021 0.562
0.445 0.689 0.765
0.561 0.146 0.172
0.689 0.445 0.765
0.716 0.716 0.351
0.058 0.663 0.678
0.663 0.058 0.678
0.359 0.359 0.299
```

Computed properties:
space-group type = Cm (8)
ΔE_f = -0.34 eV per atom
E_tot = -59.99 eV per formula unit
E above lowest polymorph = 8.7 kJ/mol of atoms
M_tot = 0.00 μB/f.u.

Record 2
First-principles (PBE) data for a relaxed Ho5Pd4Ru crystal, as listed in Alexandria via LeMat-Bulk.

Cell and atoms, written as POSCAR:
```
Ho5Pd4Ru
1.0
3.443 0.000 0.000
0.000 3.443 0.000
0.000 0.000 17.622
Ho Pd Ru
5 4 1
direct
0.000 0.000 0.000
0.000 0.000 0.203
0.000 0.000 0.406
0.000 0.000 0.594
0.000 0.000 0.797
0.500 0.500 0.101
0.500 0.500 0.301
0.500 0.500 0.699
0.500 0.500 0.899
0.500 0.500 0.500
```

Computed properties:
space-group type = P4/mmm (123)
ΔE_f = -0.83 eV per atom
E_tot = -61.20 eV per formula unit
M_tot = 0.00 μB/f.u.

Record 3
First-principles (PBE) data for a relaxed Ho8Pd2Ru crystal, as listed in Alexandria via LeMat-Bulk.

Cell and atoms, written as POSCAR:
```
Ho8Pd2Ru
1.0
8.563 -2.531 0.000
8.563 2.531 0.000
-1.904 0.000 6.457
Ho Pd Ru
8 2 1
direct
0.031 0.031 0.292
0.200 0.200 0.813
0.336 0.336 0.530
0.410 0.410 0.061
0.590 0.590 0.939
0.664 0.664 0.470
0.800 0.800 0.187
0.969 0.969 0.708
0.188 0.188 0.215
0.812 0.812 0.785
0.500 0.500 0.500
```

Computed properties:
space-group type = C2/m (12)
ΔE_f = -0.43 eV per atom
E_tot = -60.98 eV per formula unit
E above lowest polymorph = 0.0 kJ/mol of atoms
M_tot = 0.00 μB/f.u.

Record 4
First-principles (PBE) data for a relaxed Ho7Pd2Ru2 crystal, as listed in Alexandria via LeMat-Bulk.

Cell and atoms, written as POSCAR:
```
Ho7Pd2Ru2
1.0
3.931 -5.267 0.000
3.931 5.267 0.000
0.000 0.000 6.828
Ho Pd Ru
7 2 2
direct
0.000 0.000 0.000
0.000 0.500 0.263
0.000 0.500 0.737
0.500 0.000 0.263
0.500 0.000 0.737
0.500 0.500 0.254
0.500 0.500 0.746
0.189 0.189 0.500
0.811 0.811 0.500
0.289 0.711 0.000
0.711 0.289 0.000
```

Computed properties:
space-group type = Cmmm (65)
ΔE_f = -0.37 eV per atom
E_tot = -65.05 eV per formula unit
M_tot = 0.00 μB/f.u.